[1]
# AcY3Au4O12

AcY3Au4O12 after structural relaxation (PBE, Alexandria).

Cell lengths 7.2949, 7.2949, 7.2949 Å; angles 104.46, 104.46, 104.46 degrees
With the nearest neighbours (Å) after each atom.
Fractional positions:
1 Y 0.4395 0.0000 0.5605  6 O 2.21-2.32
2 O 0.6725 0.5000 0.3275  1 Au 1.99, 2 Y 2.21
3 O 0.3275 0.6725 0.5000  1 Au 1.99, 2 Y 2.21
4 O 0.5000 0.0963 0.9037  1 Au 2.06
5 O 0.0062 0.2364 0.3300  1 Au 1.99
6 O 0.9037 0.5000 0.0963  1 Au 2.06
7 Ac 0.0000 0.0000 0.0000  6 O 2.57
8 Au 0.9181 0.0819 0.5000  3 O 1.99-2.06
9 Au 0.5000 0.9181 0.0819  3 O 1.99-2.06
10 O 0.6700 0.7636 0.9938  1 Au 1.99
11 Au 0.0819 0.5000 0.9181  3 O 1.99-2.06
12 O 0.0963 0.9037 0.5000  1 Au 2.06
13 O 0.2364 0.3300 0.0062  1 Au 1.99
14 Au 0.5000 0.5000 0.5000  3 O 1.99
15 O 0.5000 0.3275 0.6725  1 Au 1.99, 2 Y 2.21
16 Y 0.5605 0.4395 0.0000  6 O 2.21-2.32
17 O 0.3300 0.0062 0.2364  1 Au 1.99
18 O 0.9938 0.6700 0.7636  1 Au 1.99
19 O 0.7636 0.9938 0.6700  1 Au 1.99
20 Y 0.0000 0.5605 0.4395  6 O 2.21-2.32

Results
Symmetry: R32, No. 155
Crystal system: trigonal
Formation energy (no corrections), meV/atom: -1476

[2]
# LuPb6

LuPb6 after structural relaxation (PBE, Alexandria).

Cell lengths 7.4088, 7.4088, 7.4088 Å; angles 109.47, 109.47, 109.47 degrees
With the nearest neighbours (Å) after each atom.
Fractional positions:
1 Pb 0.2500 0.7500 0.5000  4 Pb 3.02
2 Pb 0.5000 0.7500 0.2500  4 Pb 3.02
3 Lu 0.0000 0.0000 0.0000  24 Pb 4.78
4 Pb 0.2500 0.5000 0.7500  4 Pb 3.02
5 Pb 0.5000 0.2500 0.7500  4 Pb 3.02
6 Pb 0.7500 0.5000 0.2500  4 Pb 3.02
7 Pb 0.7500 0.2500 0.5000  4 Pb 3.02

Results
Symmetry: Im-3m, No. 229
Crystal system: cubic
Formation enthalpy at 0 K, eV per atom: 0.6313